[1]
Er3ThCo8: optimized geometry, PBE.

Summary:
- ρ: 10.9 g/cm3
- Crystal system: trigonal
- Formation energy from the elements: -260 kJ/mol of formula units
- Space group: No. 160

Lattice parameters (Å, degrees): 5.054 5.054 8.799 73.31 73.31 60.00
Site moments in Bohr magnetons follow the coordinates.
Fractional positions:
Er 0.374 0.374 0.877  -0.32
Er 0.002 0.002 0.994  -0.31
Er 0.498 0.498 0.506  -0.32
Th 0.876 0.876 0.372  -0.28
Co 0.939 0.438 0.184  0.96
Co 0.435 0.937 0.691  1.05
Co 0.438 0.438 0.184  0.96
Co 0.937 0.937 0.691  1.05
Co 0.187 0.187 0.439  0.90
Co 0.688 0.688 0.936  1.06
Co 0.438 0.939 0.184  0.96
Co 0.937 0.435 0.691  1.05

***

[2]
Cu4Pd15Rh: optimized geometry, PBE.

Summary:
- ρ: 11.0 g/cm3
- Crystal system: tetragonal
- Formation energy from the elements: -60 kJ/mol of formula units
- Space group: No. 123

Lattice parameters (Å, degrees): 3.892 3.892 19.499 90.00 90.00 90.00
Site moments in Bohr magnetons follow the coordinates.
Fractional positions:
Cu 0.000 0.000 0.202  -0.03
Cu 0.000 0.000 0.401  -0.01
Cu 0.000 0.000 0.599  -0.01
Cu 0.000 0.000 0.798  -0.03
Pd 0.500 0.500 0.000  -0.26
Pd 0.500 0.500 0.202  -0.16
Pd 0.500 0.500 0.401  -0.04
Pd 0.500 0.500 0.599  -0.04
Pd 0.500 0.500 0.798  -0.16
Pd 0.500 0.000 0.102  -0.28
Pd 0.500 0.000 0.301  -0.09
Pd 0.500 0.000 0.500  -0.03
Pd 0.500 0.000 0.699  -0.09
Pd 0.500 0.000 0.898  -0.28
Pd 0.000 0.500 0.102  -0.28
Pd 0.000 0.500 0.301  -0.09
Pd 0.000 0.500 0.500  -0.03
Pd 0.000 0.500 0.699  -0.09
Pd 0.000 0.500 0.898  -0.28
Rh 0.000 0.000 0.000  -0.97

***

[3]
LiSiSe2: optimized geometry, PBE.

Summary:
- ρ: 3.5 g/cm3
- Crystal system: tetragonal
- Raw formation energy: -0.115 eV per atom
- Space group: No. 99

Lattice parameters (Å, degrees): 3.213 3.213 8.746 90.00 90.00 89.97
Fractional positions:
Li 0.500 0.500 0.768
Se 0.000 0.000 0.929
Se 0.500 0.500 0.334
Si 0.000 0.000 0.468

***

[4]
CaPt4Se: optimized geometry, PBE.

Summary:
- ρ: 13.4 g/cm3
- Crystal system: cubic
- Raw formation energy: -0.330 eV per atom
- Space group: No. 216

Lattice parameters (Å, degrees): 5.400 5.400 5.400 60.00 60.00 60.00
Fractional positions:
Ca 0.000 0.000 0.000
Pt 0.875 0.375 0.375
Pt 0.375 0.375 0.875
Pt 0.375 0.875 0.375
Pt 0.375 0.375 0.375
Se 0.750 0.750 0.750

***

[5]
Rb3Cd2Cl2F5: optimized geometry, PBE.

Summary:
- ρ: 4.1 g/cm3
- Crystal system: tetragonal
- Raw formation energy: -2.244 eV per atom
- Space group: No. 139

Lattice parameters (Å, degrees): 4.600 4.600 12.897 100.27 100.27 90.00
Fractional positions:
Rb 0.170 0.170 0.340
Rb 0.830 0.830 0.660
Rb 0.000 0.000 0.000
Cd 0.411 0.411 0.821
Cd 0.589 0.589 0.179
Cl 0.692 0.692 0.384
Cl 0.308 0.308 0.616
F 0.586 0.086 0.172
F 0.414 0.914 0.828
F 0.086 0.586 0.172
F 0.914 0.414 0.828
F 0.500 0.500 0.000

***

[6]
ZnNi2Sb: optimized geometry, PBE.

Summary:
- ρ: 8.6 g/cm3
- Crystal system: cubic
- Raw formation energy: 0.124 eV per atom
- Space group: No. 216

Lattice parameters (Å, degrees): 4.363 4.363 4.363 60.00 60.00 60.00
Fractional positions:
Ni 0.000 0.000 0.000
Ni 0.750 0.750 0.750
Sb 0.500 0.500 0.500
Zn 0.250 0.250 0.250

***

[7]
Pr3HgIrCl: optimized geometry, PBE.

Summary:
- ρ: 8.0 g/cm3
- Crystal system: monoclinic
- Raw formation energy: -0.800 eV per atom
- Space group: No. 11

Lattice parameters (Å, degrees): 4.352 7.744 10.687 99.66 90.00 90.00
Fractional positions:
Pr 0.250 0.698 0.431
Pr 0.750 0.917 0.140
Pr 0.750 0.424 0.126
Pr 0.750 0.302 0.569
Pr 0.250 0.576 0.874
Pr 0.250 0.083 0.860
Hg 0.750 0.716 0.687
Hg 0.250 0.284 0.313
Ir 0.250 0.675 0.149
Ir 0.750 0.325 0.851
Cl 0.250 0.066 0.599
Cl 0.750 0.934 0.401

***

[8]
La3W: optimized geometry, PBE.

Summary:
- ρ: 8.5 g/cm3
- Crystal system: orthorhombic
- Formation energy from the elements: 206 kJ/mol of formula units
- Polymorph energy (0 for the lowest one): 2.77 kcal/mol of atoms
- Space group: No. 65

Lattice parameters (Å, degrees): 3.367 3.367 11.304 90.00 90.00 113.78
Fractional positions:
La 0.000 0.000 0.052
La 0.000 0.000 0.448
La 0.500 0.500 0.750
W 0.500 0.500 0.250

***

[9]
ThAsO5: optimized geometry, PBE.

Summary:
- ρ: 4.7 g/cm3
- Crystal system: monoclinic
- Raw formation energy: -2.071 eV per atom
- Space group: No. 15

Lattice parameters (Å, degrees): 6.063 6.063 8.562 111.55 110.22 89.56
Fractional positions:
Th 0.999 0.001 0.999
Th 0.999 0.501 0.499
As 0.626 0.378 0.750
As 0.372 0.624 0.249
O 0.947 0.199 0.250
O 0.051 0.804 0.749
O 0.673 0.646 0.347
O 0.296 0.827 0.151
O 0.260 0.340 0.088
O 0.249 0.673 0.410
O 0.738 0.663 0.911
O 0.750 0.329 0.589
O 0.702 0.175 0.848
O 0.325 0.356 0.651

***

[10]
Ac4Cu3Sn: optimized geometry, PBE.

Summary:
- ρ: 8.4 g/cm3
- Crystal system: orthorhombic
- Formation energy from the elements: -193 kJ/mol of formula units
- Space group: No. 25

Lattice parameters (Å, degrees): 4.510 4.620 11.493 90.00 90.00 90.00
Fractional positions:
Ac 0.500 0.500 0.369
Ac 0.000 0.500 0.843
Ac 0.000 0.000 0.154
Ac 0.500 0.000 0.640
Cu 0.000 0.500 0.559
Cu 0.000 0.000 0.443
Cu 0.500 0.000 0.926
Sn 0.500 0.500 0.065

***

[11]
NaNb3Ga: optimized geometry, PBE.

Summary:
- ρ: 6.1 g/cm3
- Crystal system: cubic
- Formation energy from the elements: 923 kJ/mol of formula units
- Space group: No. 221

Lattice parameters (Å, degrees): 4.662 4.662 4.662 90.00 90.00 90.00
Fractional positions:
Na 0.000 0.000 0.000
Nb 0.000 0.500 0.000
Nb 0.000 0.000 0.500
Nb 0.500 0.000 0.000
Ga 0.500 0.500 0.500

***

[12]
TePAu2: optimized geometry, PBE.

Summary:
- ρ: 11.0 g/cm3
- Crystal system: trigonal
- Raw formation energy: 0.146 eV per atom
- Polymorph energy (0 for the lowest one): 2.02 kcal/mol of atoms
- Space group: No. 166

Lattice parameters (Å, degrees): 6.572 6.572 6.572 35.03 35.03 35.03
Fractional positions:
Te 0.000 0.000 0.000
P 0.500 0.500 0.500
Au 0.762 0.762 0.762
Au 0.238 0.238 0.238

***

[13]
LaThGa4: optimized geometry, PBE.

Summary:
- ρ: 7.8 g/cm3
- Crystal system: tetragonal
- Formation energy from the elements: -388 kJ/mol of formula units
- Polymorph energy (0 for the lowest one): 0.00 kcal/mol of atoms
- Space group: No. 119

Lattice parameters (Å, degrees): 4.310 4.310 8.064 105.50 105.50 90.00
Fractional positions:
La 0.250 0.750 0.500
Th 0.000 0.000 0.000
Ga 0.666 0.166 0.333
Ga 0.582 0.582 0.164
Ga 0.834 0.334 0.667
Ga 0.418 0.418 0.836

***

[14]
La2Dy15Tm2: optimized geometry, PBE.

Summary:
- ρ: 8.0 g/cm3
- Crystal system: trigonal
- Formation energy from the elements: 545 kJ/mol of formula units
- Space group: No. 166

Lattice parameters (Å, degrees): 8.724 8.724 8.724 79.58 79.58 79.58
Fractional positions:
La 0.883 0.883 0.883
La 0.117 0.117 0.117
Dy 0.000 0.500 0.000
Dy 0.000 0.000 0.500
Dy 0.500 0.000 0.000
Dy 0.305 0.000 0.695
Dy 0.695 0.305 0.000
Dy 0.000 0.695 0.305
Dy 0.305 0.695 0.000
Dy 0.000 0.305 0.695
Dy 0.695 0.000 0.305
Dy 0.372 0.845 0.372
Dy 0.372 0.372 0.845
Dy 0.845 0.372 0.372
Dy 0.628 0.155 0.628
Dy 0.628 0.628 0.155
Dy 0.155 0.628 0.628
Tm 0.672 0.672 0.672
Tm 0.328 0.328 0.328

***

[15]
LaCuSCl2: optimized geometry, PBE.

Summary:
- ρ: 3.0 g/cm3
- Crystal system: tetragonal
- Raw formation energy: -0.880 eV per atom
- Polymorph energy (0 for the lowest one): 6.02 kcal/mol of atoms
- Space group: No. 123

Lattice parameters (Å, degrees): 5.506 5.506 5.598 90.00 90.00 90.00
Fractional positions:
S 0.000 0.000 0.500
Cl 0.000 0.500 0.000
Cl 0.500 0.000 0.000
Cu 0.500 0.500 0.500
La 0.000 0.000 0.000

***

[16]
BeTe2Se: optimized geometry, PBE.

Summary:
- ρ: 5.8 g/cm3
- Crystal system: monoclinic
- Raw formation energy: 0.246 eV per atom
- Polymorph energy (0 for the lowest one): 5.72 kcal/mol of atoms
- Space group: No. 12

Lattice parameters (Å, degrees): 5.041 5.041 5.061 67.98 67.98 104.87
Fractional positions:
Be 0.500 0.000 0.500
Te 0.000 0.000 0.000
Te 0.500 0.500 0.000
Se 0.000 0.500 0.500

***

[17]
BaAg9Pb4: optimized geometry, PBE.

Summary:
- ρ: 9.6 g/cm3
- Crystal system: tetragonal
- Formation energy from the elements: -66 kJ/mol of formula units
- Space group: No. 140

Lattice parameters (Å, degrees): 9.775 9.775 9.828 119.82 119.82 90.00
Fractional positions:
Ba 0.750 0.750 0.500
Ba 0.250 0.250 0.500
Ag 0.051 0.201 0.000
Ag 0.949 0.799 0.000
Ag 0.551 0.299 0.000
Ag 0.449 0.701 0.000
Ag 0.299 0.449 0.000
Ag 0.701 0.551 0.000
Ag 0.201 0.949 0.000
Ag 0.799 0.051 0.000
Ag 0.000 0.500 0.000
Ag 0.500 0.000 0.000
Ag 0.783 0.283 0.349
Ag 0.566 0.066 0.349
Ag 0.934 0.217 0.651
Ag 0.717 0.434 0.651
Ag 0.217 0.717 0.651
Ag 0.434 0.934 0.651
Ag 0.283 0.566 0.349
Ag 0.066 0.783 0.349
Pb 0.313 0.813 0.251
Pb 0.938 0.438 0.251
Pb 0.562 0.687 0.749
Pb 0.187 0.062 0.749
Pb 0.687 0.187 0.749
Pb 0.062 0.562 0.749
Pb 0.813 0.938 0.251
Pb 0.438 0.313 0.251

***

[18]
Ca2TeCl2: optimized geometry, PBE.

Summary:
- ρ: 3.3 g/cm3
- Crystal system: tetragonal
- Raw formation energy: -1.873 eV per atom
- Space group: No. 139

Lattice parameters (Å, degrees): 4.440 4.440 7.717 73.28 73.28 90.00
Fractional positions:
Ca 0.369 0.369 0.262
Ca 0.631 0.631 0.738
Te 0.000 0.000 0.000
Cl 0.750 0.250 0.500
Cl 0.250 0.750 0.500

***

[19]
Tl3Bi2Pb2: optimized geometry, PBE.

Summary:
- ρ: 10.7 g/cm3
- Crystal system: monoclinic
- Formation energy from the elements: -7 kJ/mol of formula units
- Polymorph energy (0 for the lowest one): 0.00 kcal/mol of atoms
- Space group: No. 12

Lattice parameters (Å, degrees): 5.933 5.933 9.061 78.86 116.77 127.39
Fractional positions:
Tl 0.000 0.000 0.000
Tl 0.712 0.863 0.575
Tl 0.288 0.137 0.425
Bi 0.155 0.583 0.738
Bi 0.845 0.417 0.262
Pb 0.436 0.713 0.149
Pb 0.564 0.287 0.851

***

[20]
PmGd2Be: optimized geometry, PBE.

Summary:
- ρ: 7.3 g/cm3
- Crystal system: tetragonal
- Formation energy from the elements: 30 kJ/mol of formula units
- Polymorph energy (0 for the lowest one): 0.00 kcal/mol of atoms
- Space group: No. 123

Lattice parameters (Å, degrees): 3.507 3.507 8.709 90.00 90.00 90.00
Site moments in Bohr magnetons follow the coordinates.
Fractional positions:
Be 0.500 0.500 0.000  -0.03
Gd 0.000 0.000 0.811  7.10
Gd 0.000 0.000 0.189  7.10
Pm 0.500 0.500 0.500  -0.06

***

[21]
Be3AsS: optimized geometry, PBE.

Summary:
- ρ: 3.2 g/cm3
- Crystal system: cubic
- Raw formation energy: 0.539 eV per atom
- Polymorph energy (0 for the lowest one): 0.00 kcal/mol of atoms
- Space group: No. 221

Lattice parameters (Å, degrees): 4.123 4.123 4.123 90.00 90.00 90.00
Fractional positions:
Be 0.000 0.500 0.000
Be 0.000 0.000 0.500
Be 0.500 0.000 0.000
As 0.500 0.500 0.500
S 0.000 0.000 0.000

***

[22]
HgPd2Pb7: optimized geometry, PBE.

Summary:
- ρ: 11.2 g/cm3
- Crystal system: tetragonal
- Formation energy from the elements: -59 kJ/mol of formula units
- Space group: No. 139

Lattice parameters (Å, degrees): 4.845 4.845 12.295 101.36 101.36 90.00
Fractional positions:
Hg 0.000 0.000 0.000
Pd 0.681 0.681 0.361
Pd 0.319 0.319 0.639
Pb 0.107 0.607 0.214
Pb 0.393 0.893 0.786
Pb 0.607 0.107 0.214
Pb 0.500 0.500 0.000
Pb 0.750 0.250 0.500
Pb 0.893 0.393 0.786
Pb 0.250 0.750 0.500

***

[23]
SrSm2Pb: optimized geometry, PBE.

Summary:
- ρ: 7.6 g/cm3
- Crystal system: tetragonal
- Formation energy from the elements: -79 kJ/mol of formula units
- Polymorph energy (0 for the lowest one): 0.00 kcal/mol of atoms
- Space group: No. 123

Lattice parameters (Å, degrees): 5.078 5.078 5.078 90.00 90.00 90.00
Fractional positions:
Pb 0.500 0.500 0.500
Sr 0.500 0.000 0.000
Sm 0.000 0.000 0.500
Sm 0.000 0.500 0.000